No. 1
TaCoPd2 | PBE-GGA | relaxed

```
TaCoPd2
1.0
0.000 3.112 3.112
3.112 0.000 3.112
3.112 3.112 0.000
Co Pd Ta
1 2 1
direct
0.000 0.000 0.000
0.250 0.250 0.250
0.750 0.750 0.750
0.500 0.500 0.500
```

Output
The calculation puts the energy of formation from the pure elements at -0.1 eV per formula unit. The value obtained for the polymorph energy (0 for the lowest one) is 279 meV/atom. The volume is 15.07 Å³ per atom. For the total energy, the calculation gives -29.425 eV for the cell shown. As for the space group: Fm-3m, No. 225. The value obtained for the density of states at the Fermi level is 1.42 states/eV/atom.


No. 2
Ta2CoPd | PBE-GGA | relaxed

```
Ta2CoPd
1.0
-0.818 1.967 -3.320
-0.503 -3.420 -1.902
-9.164 -0.662 -0.479
Co Pd Ta
2 2 4
direct
0.500 0.500 0.000
0.250 0.750 0.500
0.000 0.000 0.000
0.750 0.250 0.500
0.615 0.125 0.250
0.135 0.625 0.250
0.375 0.385 0.750
0.875 0.865 0.750
```

Output
The calculation puts the energy of formation from the pure elements at 1.8 eV per formula unit. The value obtained for the polymorph energy (0 for the lowest one) is 466 meV/atom. The volume is 17.06 Å³ per atom. For the total energy, the calculation gives -68.310 eV for the cell shown. As for the space group: I-42d, No. 122. The value obtained for the density of states at the Fermi level is 1.03 states/eV/atom.


No. 3
Ta2CoPd | PBE-GGA | relaxed

```
Ta2CoPd
1.0
0.000 3.161 3.161
3.161 0.000 3.161
3.161 3.161 0.000
Co Pd Ta
1 1 2
direct
0.000 0.000 0.000
0.500 0.500 0.500
0.250 0.250 0.250
0.750 0.750 0.750
```

Output
The calculation puts the energy of formation from the pure elements at 0.0 eV per formula unit. The value obtained for the polymorph energy (0 for the lowest one) is 0 meV/atom. The volume is 15.79 Å³ per atom. For the total energy, the calculation gives -36.017 eV for the cell shown. As for the space group: Fm-3m, No. 225. The value obtained for the density of states at the Fermi level is 1.09 states/eV/atom.


No. 4
TaCoPd2 | PBE-GGA | relaxed

```
TaCoPd2
1.0
4.001 0.000 0.000
0.000 3.801 0.000
0.000 0.000 3.801
Co Pd Ta
1 2 1
direct
0.500 0.000 0.000
0.000 0.000 0.500
0.000 0.500 0.000
0.500 0.500 0.500
```

Output
The calculation puts the energy of formation from the pure elements at -1.2 eV per formula unit. The value obtained for the polymorph energy (0 for the lowest one) is 0 meV/atom. The volume is 14.45 Å³ per atom. For the total energy, the calculation gives -30.540 eV for the cell shown. As for the space group: P4/mmm, No. 123. The value obtained for the density of states at the Fermi level is 0.09 states/eV/atom.


No. 5
Ta3CoPd | PBE-GGA | relaxed

```
Ta3CoPd
1.0
-3.713 2.253 1.332
0.071 -2.224 3.961
2.616 3.258 1.783
Co Pd Ta
1 1 3
direct
0.000 0.000 0.000
0.500 0.500 0.500
0.000 0.500 0.000
0.000 0.000 0.500
0.500 0.000 0.000
```

Output
The calculation puts the energy of formation from the pure elements at 3.3 eV per formula unit. The value obtained for the polymorph energy (0 for the lowest one) is 0 meV/atom. The volume is 18.75 Å³ per atom. For the total energy, the calculation gives -44.566 eV for the cell shown. As for the space group: Pm-3m, No. 221. The value obtained for the density of states at the Fermi level is 1.08 states/eV/atom.


No. 6
TaCo3Pd | PBE-GGA | relaxed

```
TaCo3Pd
1.0
-4.418 -0.234 -0.131
-0.038 -1.596 4.128
-0.265 4.122 1.591
Co Pd Ta
3 1 1
direct
0.000 0.500 0.000
0.000 0.000 0.500
0.500 0.000 0.000
0.500 0.500 0.500
0.000 0.000 0.000
```

Output
The calculation puts the energy of formation from the pure elements at 6.9 eV per formula unit. The value obtained for the polymorph energy (0 for the lowest one) is 0 meV/atom. The volume is 17.34 Å³ per atom. For the total energy, the calculation gives -31.449 eV for the cell shown. As for the space group: Pm-3m, No. 221. The value obtained for the density of states at the Fermi level is 1.62 states/eV/atom.


No. 7
TaCo4Pd | PBE-GGA | relaxed

```
TaCo4Pd
1.0
-2.771 3.603 -1.343
-4.038 0.877 2.322
-0.371 3.852 2.736
Co Pd Ta
4 1 1
direct
0.625 0.625 0.124
0.625 0.124 0.625
0.625 0.625 0.625
0.124 0.625 0.625
0.000 0.000 0.000
0.250 0.250 0.250
```

Output
The calculation puts the energy of formation from the pure elements at -1.0 eV per formula unit. The volume is 12.55 Å³ per atom. For the total energy, the calculation gives -46.428 eV for the cell shown. As for the space group: F-43m, No. 216. The value obtained for the density of states at the Fermi level is 1.68 states/eV/atom.


No. 8
Ta2Co2Pd | PBE-GGA | relaxed

```
Ta2Co2Pd
1.0
7.286 0.000 0.000
0.000 7.286 0.000
0.000 0.000 2.843
Co Pd Ta
4 2 4
direct
0.135 0.635 0.500
0.635 0.865 0.500
0.865 0.365 0.500
0.365 0.135 0.500
0.000 0.000 0.000
0.500 0.500 0.000
0.344 0.844 0.000
0.844 0.656 0.000
0.656 0.156 0.000
0.156 0.344 0.000
```

Output
The calculation puts the energy of formation from the pure elements at 0.0 eV per formula unit. The value obtained for the polymorph energy (0 for the lowest one) is 303 meV/atom. The volume is 15.09 Å³ per atom. For the total energy, the calculation gives -86.171 eV for the cell shown. As for the space group: P4/mbm, No. 127. The value obtained for the density of states at the Fermi level is 1.08 states/eV/atom.


No. 9
Ta2Co2Pd | PBE-GGA | relaxed

```
Ta2Co2Pd
1.0
-6.409 -2.555 -0.585
1.642 -5.118 4.366
-0.888 1.695 2.321
Co Pd Ta
4 2 4
direct
0.369 0.869 0.000
0.869 0.631 0.000
0.631 0.131 0.000
0.131 0.369 0.000
0.000 0.000 0.000
0.500 0.500 0.000
0.169 0.669 0.500
0.669 0.831 0.500
0.831 0.331 0.500
0.331 0.169 0.500
```

Output
The calculation puts the energy of formation from the pure elements at -1.5 eV per formula unit. The value obtained for the polymorph energy (0 for the lowest one) is 0 meV/atom. The volume is 14.42 Å³ per atom. For the total energy, the calculation gives -89.205 eV for the cell shown. As for the space group: P4/mbm, No. 127. The value obtained for the density of states at the Fermi level is 0.40 states/eV/atom.


No. 10
Ta2CoPd6 | PBE-GGA | relaxed

```
Ta2CoPd6
1.0
3.662 0.000 -1.095
-0.606 5.913 -2.025
-0.108 0.115 6.309
Ta Co Pd
2 1 6
direct
0.945 0.194 0.890
0.055 0.806 0.110
0.500 0.500 0.000
0.396 0.835 0.793
0.604 0.165 0.207
0.717 0.833 0.433
0.163 0.500 0.325
0.283 0.167 0.567
0.837 0.500 0.675
```

Output
The calculation puts the energy of formation from the pure elements at -3.1 eV per formula unit. The volume is 15.20 Å³ per atom. For the total energy, the calculation gives -65.048 eV for the cell shown. As for the space group: C2/m, No. 12. The value obtained for the density of states at the Fermi level is 0.60 states/eV/atom.


No. 11
TaCoPd2 | PBE-GGA | relaxed

```
TaCoPd2
1.0
6.957 0.000 0.000
0.000 6.957 0.000
3.479 3.479 2.633
Co Pd Ta
2 4 2
direct
0.500 0.500 0.000
0.250 0.750 0.500
0.614 0.125 0.250
0.136 0.625 0.250
0.375 0.386 0.750
0.875 0.864 0.750
0.000 0.000 0.000
0.750 0.250 0.500
```

Output
The calculation puts the energy of formation from the pure elements at 1.1 eV per formula unit. The value obtained for the polymorph energy (0 for the lowest one) is 574 meV/atom. The volume is 15.93 Å³ per atom. For the total energy, the calculation gives -56.489 eV for the cell shown. As for the space group: I-42d, No. 122. The value obtained for the density of states at the Fermi level is 1.06 states/eV/atom.


No. 12
Ta2Ti5Co2Pd | PBE-GGA | relaxed

```
Ta2Ti5Co2Pd
1.0
-0.730 -2.909 -0.447
9.935 -2.482 -0.070
-0.298 -1.480 10.129
Ta Ti Co Pd
4 10 4 2
direct
0.000 0.674 0.174
0.000 0.326 0.826
0.000 0.174 0.326
0.000 0.826 0.674
0.500 0.208 0.061
0.500 0.792 0.939
0.500 0.061 0.792
0.500 0.708 0.439
0.500 0.939 0.208
0.500 0.292 0.561
0.500 0.561 0.708
0.500 0.439 0.292
0.500 0.500 0.000
0.500 0.000 0.500
0.000 0.129 0.629
0.000 0.871 0.371
0.000 0.629 0.871
0.000 0.371 0.129
0.000 0.000 0.000
0.000 0.500 0.500
```

Output
The calculation puts the energy of formation from the pure elements at -2.2 eV per formula unit. The volume is 15.90 Å³ per atom. For the total energy, the calculation gives -169.621 eV for the cell shown. As for the space group: P4/mbm, No. 127. The value obtained for the density of states at the Fermi level is 0.94 states/eV/atom.


No. 13
ZrTaCoPd2 | PBE-GGA | relaxed

```
ZrTaCoPd2
1.0
-1.642 -3.407 -2.940
4.587 -2.185 -0.030
-1.244 -2.664 3.782
Co Zr Pd Ta
1 1 2 1
direct
0.500 0.500 0.500
0.000 0.500 0.000
0.000 0.000 0.500
0.500 0.000 0.000
0.000 0.000 0.000
```

Output
The calculation puts the energy of formation from the pure elements at 6.4 eV per formula unit. The volume is 23.32 Å³ per atom. For the total energy, the calculation gives -31.456 eV for the cell shown. As for the space group: P4/mmm, No. 123. The value obtained for the density of states at the Fermi level is 1.36 states/eV/atom.